# CsTh2Te5Au, optimized geometry, DFT PBE
data_CsTh2Te5Au
_space_group_name_H-M_alt 'I 4/m c m'
_space_group_IT_number 140
_space_group_name_Hall '-I 4 2c'
_cell_length_a 8.797
_cell_length_b 8.797
_cell_length_c 16.495
_cell_angle_alpha 90.00
_cell_angle_beta 90.00
_cell_angle_gamma 90.00
loop_
_atom_site_label
_atom_site_fract_x
_atom_site_fract_y
_atom_site_fract_z
Cs1 0.000 0.000 0.250
Th1 0.157 0.343 0.000
Te1 0.000 0.000 0.000
Te2 0.144 0.356 0.380
Au1 0.000 0.500 0.250
# calculated volume = 35.46 Å³ per atom
# Fermi-level density of states = 9.78 states/eV/cell
# VASP energy = -174.4 eV per cell
# formation energy without anion corrections = -0.991 eV per atom